Density functional theory data (PBE) for a geometry-optimized RbAlCoBi2 structure.

extended XYZ file:
```
5
Lattice="-2.440 -4.608 -1.629 5.227 -3.357 1.667 -2.045 -0.692 5.018" Properties=species:S:1:pos:R:3 pbc="T T T"
Co 0.371 -4.328 2.528
Al 0.000 0.000 0.000
Bi -1.220 -2.304 -0.815
Bi -1.022 -0.346 2.509
Rb 2.614 -1.678 0.833
```

**Energy of formation**: 1.023 eV per atom
**N(E_F)**: 10.48 states/eV/f.u.
**SG**: P4/mmm, No. 123
**Total magnetic moment**: 2.7 μB/f.u.
**Calculated total energy**: -2.893 eV per atom